Entry from Alexandria via LeMat-Bulk: crystalline YSi2Ag at its relaxed geometry (PBE).

Lattice parameters (Å, degrees): 8.1913 3.9243 5.2773 90.00 110.91 90.00
Closest atoms and distances in Å follow each position.
Space group C2/m (No. 12)
Symmetry-distinct sites (fractional):
Y (0.0000, 0.0000, 0.0000)  8 Si 3.00-3.29, 4 Ag 3.29
Si (0.2386, 0.0000, 0.6518)  3 Ag 2.54-2.68, 2 Si 2.58
Ag (0.0000, 0.5000, 0.5000)  6 Si 2.54-2.68

***

Entry from Alexandria via LeMat-Bulk: crystalline NbCd2PSe at its relaxed geometry (PBE).

Lattice parameters (Å, degrees): 4.9856 4.9856 4.8020 90.00 90.00 90.00
Closest atoms and distances in Å follow each position.
Space group P4/mmm (No. 123)
Symmetry-distinct sites (fractional):
Nb (0.0000, 0.0000, 0.0000)  2 P 2.40
Cd (0.0000, 0.5000, 0.5000)  2 P 2.49
P (0.0000, 0.0000, 0.5000)  2 Nb 2.40, 4 Cd 2.49
Se (0.5000, 0.5000, 0.0000)  8 Cd 3.46, 4 Nb 3.53

***

Entry from Alexandria via LeMat-Bulk: crystalline MgCr2W at its relaxed geometry (PBE).

Lattice parameters (Å, degrees): 3.1124 3.1124 6.3599 90.00 90.00 90.00
Closest atoms and distances in Å follow each position.
Space group P4/mmm (No. 123)
Symmetry-distinct sites (fractional):
Mg (0.0000, 0.0000, 0.0000)  8 Cr 2.83, 4 Mg 3.11
Cr (0.5000, 0.5000, 0.2797)  4 W 2.61, 1 Cr 2.80, 4 Mg 2.83
W (0.0000, 0.0000, 0.5000)  8 Cr 2.61

Computed properties:
offset from the most stable computed form = 6.7 meV per atom
formation enthalpy at 0 K = 0.334 eV/atom

***

Entry from Alexandria via LeMat-Bulk: crystalline V2PN at its relaxed geometry (PBE).

Lattice parameters (Å, degrees): 2.8936 2.8936 18.3231 90.00 90.00 120.00
Closest atoms and distances in Å follow each position.
Space group R3m (No. 160, hexagonal axes)
Symmetry-distinct sites (fractional):
V (0.0000, 0.0000, 0.0000)  3 N 2.10
V (0.0000, 0.0000, 0.1381)  3 N 2.09
P (0.0000, 0.0000, 0.5688)  6 V 2.44-2.45
N (0.0000, 0.0000, 0.4028)  6 V 2.09-2.10

Computed properties:
offset from the most stable computed form = 180.0 meV per atom

***

Entry from Alexandria via LeMat-Bulk: crystalline KNaCoCl6 at its relaxed geometry (PBE).

Lattice parameters (Å, degrees): 6.7739 11.7552 6.4978 90.00 90.04 90.00
Closest atoms and distances in Å follow each position.
Space group C2 (No. 5)
Symmetry-distinct sites (fractional):
K (0.0000, 0.0000, 0.0000)  6 Cl 3.20
Na (0.0000, 0.3337, 0.5000)  6 Cl 2.78-2.79
Co (0.0000, 0.6666, 0.5000)  6 Cl 2.25
Cl (0.1273, 0.5292, 0.2978)  1 Co 2.25
Cl (0.1419, 0.7992, 0.2980)  1 Co 2.25
Cl (0.2291, 0.1715, 0.2987)  1 Co 2.25

***

Entry from Alexandria via LeMat-Bulk: crystalline RbBa2AlPt at its relaxed geometry (PBE).

Lattice parameters (Å, degrees): 6.3767 6.3767 5.0026 90.00 90.00 90.00
Closest atoms and distances in Å follow each position.
Space group P4/mmm (No. 123)
Symmetry-distinct sites (fractional):
Rb (0.0000, 0.0000, 0.0000)  8 Ba 4.05, 4 Al 4.51
Ba (0.0000, 0.5000, 0.5000)  2 Pt 3.19
Al (0.5000, 0.5000, 0.0000)  2 Pt 2.50
Pt (0.5000, 0.5000, 0.5000)  2 Al 2.50

Computed properties:
formation enthalpy at 0 K = -0.288 eV/atom

***

Entry from Alexandria via LeMat-Bulk: crystalline Ba3C at its relaxed geometry (PBE).

Lattice parameters (Å, degrees): 4.9901 4.9901 10.7049 90.00 90.00 90.00
Closest atoms and distances in Å follow each position.
Space group I4/mmm (No. 139)
Symmetry-distinct sites (fractional):
Ba (0.0000, 0.0000, 0.0000)  4 C 3.53, 8 Ba 3.66
Ba (0.0000, 0.5000, 0.2500)  8 Ba 3.53-3.66, 4 C 3.66
C (0.0000, 0.0000, 0.5000)  12 Ba 3.53-3.66

Computed properties:
offset from the most stable computed form = 836.9 meV per atom
formation enthalpy at 0 K = 1.214 eV/atom

***

Entry from Alexandria via LeMat-Bulk: crystalline CaMg4Tl8 at its relaxed geometry (PBE).

Lattice parameters (Å, degrees): 10.7124 10.7124 6.2564 90.00 90.00 90.00
Closest atoms and distances in Å follow each position.
Space group I4/mmm (No. 139)
Symmetry-distinct sites (fractional):
Ca (0.0000, 0.0000, 0.0000)  12 Tl 3.69-3.88, 8 Mg 4.10
Mg (0.2500, 0.2500, 0.2500)  8 Tl 3.12-3.26, 2 Mg 3.13
Tl (0.0000, 0.2144, 0.5000)  4 Mg 3.12, 6 Tl 3.25-3.49
Tl (0.0000, 0.3441, 0.0000)  4 Mg 3.26, 5 Tl 3.34-3.49

Computed properties:
offset from the most stable computed form = 0.0 meV per atom
formation enthalpy at 0 K = -0.055 eV/atom

***

no.,total DFT energy (no corrections) (eV for the cell shown)
1,-42.4
2,-18.9
3,-32.5
4,-103.4
5,-59.8
6,-16.0
7,-20.3
8,-56.0